#P
YRuCl2, PBEsol geometry, DFT SCAN; symmetry = P4/mmm, No. 123; crystal system = tetragonal; theoretical density = 4.8 g/cm3; total magnetic moment = 2.85 μB/cell
1.0
-1.316 2.785 0.521
-1.980 -0.494 -2.365
-6.040 -3.953 5.882
Y Ru Cl
1 1 2
direct
0.500 0.500 0.500 Y
0.500 0.500 0.000 Ru
0.000 0.000 0.673 Cl
0.000 0.000 0.327 Cl

#Q
YRuCl2, PBEsol geometry, DFT SCAN; symmetry = I-4m2, No. 119; crystal system = tetragonal; theoretical density = 6.2 g/cm3; total magnetic moment = 0.79 μB/cell
1.0
-2.315 -2.949 0.180
1.285 -0.798 3.435
-2.996 4.751 0.174
Y Ru Cl
1 1 2
direct
0.250 0.750 0.500 Y
0.500 0.500 0.000 Ru
0.000 0.000 0.000 Cl
0.750 0.250 0.500 Cl

Of them, #P has the lowest stability.

#P
Y2RuCl, PBEsol geometry, DFT SCAN; symmetry = Imm2, No. 44; crystal system = orthorhombic; theoretical density = 5.8 g/cm3; total magnetic moment = 0.00 μB/cell
1.0
-1.913 1.763 2.088
-2.886 -0.628 -2.114
0.919 -6.734 3.865
Y Ru Cl
2 1 1
direct
0.069 0.069 0.137 Y
0.786 0.286 0.573 Y
0.197 0.697 0.394 Ru
0.448 0.448 0.896 Cl

#Q
Y2RuCl, PBEsol geometry, DFT SCAN; symmetry = I-4m2, No. 119; crystal system = tetragonal; theoretical density = 6.4 g/cm3; total magnetic moment = 0.00 μB/cell
1.0
-2.548 -2.471 -1.471
2.631 -2.797 0.140
-1.708 1.322 5.757
Y Ru Cl
2 1 1
direct
0.000 0.000 0.000 Y
0.750 0.250 0.500 Y
0.250 0.750 0.500 Ru
0.500 0.500 0.000 Cl

#R
Y2RuCl, PBEsol geometry, DFT SCAN; symmetry = Amm2, No. 38; crystal system = orthorhombic; theoretical density = 6.4 g/cm3; total magnetic moment = 0.04 μB/cell
1.0
-0.142 -3.307 0.505
4.151 0.123 1.972
-2.209 2.478 4.498
Y Ru Cl
2 1 1
direct
0.991 0.500 0.981 Y
0.256 0.000 0.513 Y
0.738 0.500 0.476 Ru
0.515 0.000 0.030 Cl

Of them, #Q has the lowest stability.

#P
ZnRu2Cl, PBEsol geometry, DFT SCAN; symmetry = Cm, No. 8; crystal system = monoclinic; theoretical density = 8.5 g/cm3; total magnetic moment = 0.00 μB/cell
1.0
-2.568 -0.733 0.683
-0.976 -0.917 -4.652
3.130 -3.344 2.613
Ru Zn Cl
2 1 1
direct
0.006 0.070 0.012 Ru
0.726 0.107 0.452 Ru
0.481 0.531 0.962 Zn
0.287 0.791 0.575 Cl

#Q
ZnRu2Cl, PBEsol geometry, DFT SCAN; symmetry = P4/mmm, No. 123; crystal system = tetragonal; theoretical density = 9.4 g/cm3; total magnetic moment = 0.00 μB/cell
1.0
-1.911 -1.040 -2.014
-1.662 -1.150 2.170
-3.155 5.170 0.324
Ru Zn Cl
2 1 1
direct
0.000 0.000 0.752 Ru
0.000 0.000 0.248 Ru
0.500 0.500 0.000 Zn
0.500 0.500 0.500 Cl

Of them, #Q has the lowest stability.

#P
ZnRu2Cl, PBEsol geometry, DFT SCAN; symmetry = P4/mmm, No. 123; crystal system = tetragonal; theoretical density = 9.4 g/cm3; total magnetic moment = 0.00 μB/cell
1.0
-1.272 -0.992 -2.422
-3.010 -1.922 2.368
-2.407 3.540 -0.186
Ru Zn Cl
2 1 1
direct
0.000 0.000 0.500 Ru
0.000 0.500 0.000 Ru
0.500 0.500 0.500 Zn
0.500 0.000 0.000 Cl

#Q
ZnRu2Cl, PBEsol geometry, DFT SCAN; symmetry = Pmmm, No. 47; crystal system = orthorhombic; theoretical density = 8.9 g/cm3; total magnetic moment = 1.53 μB/cell
1.0
2.750 0.000 0.000
0.000 4.327 0.000
0.000 0.000 4.771
Ru Zn Cl
2 1 1
direct
0.000 0.000 0.000 Ru
0.500 0.000 0.500 Ru
0.500 0.500 0.000 Zn
0.000 0.500 0.500 Cl

Of them, #P has the lowest stability.

#P
ZrRu2Cl, PBEsol geometry, DFT SCAN; symmetry = P4mm, No. 99; crystal system = tetragonal; theoretical density = 7.3 g/cm3; total magnetic moment = 0.00 μB/cell
1.0
3.262 0.000 0.000
0.000 3.262 0.000
0.000 0.000 7.011
Ru Zr Cl
2 1 1
direct
0.000 0.000 0.108 Ru
0.500 0.500 0.225 Ru
0.000 0.000 0.472 Zr
0.500 0.500 0.694 Cl

#Q
ZrRu2Cl, PBEsol geometry, DFT SCAN; symmetry = Cm, No. 8; crystal system = monoclinic; theoretical density = 8.8 g/cm3; total magnetic moment = 0.00 μB/cell
1.0
2.986 0.000 0.000
0.000 4.575 0.043
-1.493 -1.147 4.518
Ru Zr Cl
2 1 1
direct
0.005 0.065 0.010 Ru
0.738 0.156 0.476 Ru
0.507 0.569 0.015 Zr
0.250 0.710 0.500 Cl

#R
ZrRu2Cl, PBEsol geometry, DFT SCAN; symmetry = Pmmm, No. 47; crystal system = orthorhombic; theoretical density = 9.1 g/cm3; total magnetic moment = 0.00 μB/cell
1.0
2.926 0.000 0.000
0.000 4.486 0.000
0.000 0.000 4.589
Ru Zr Cl
2 1 1
direct
0.000 0.000 0.000 Ru
0.500 0.000 0.500 Ru
0.500 0.500 0.000 Zr
0.000 0.500 0.500 Cl

Of them, #R has the lowest stability.

#P
ZrSiS2Cl, PBEsol geometry, DFT SCAN; symmetry = P4/mmm, No. 123; crystal system = tetragonal; theoretical density = 3.1 g/cm3; total magnetic moment = 0.91 μB/cell
1.0
-4.425 1.801 0.826
-1.753 -2.545 -3.846
-0.995 -3.809 2.974
S Si Zr Cl
2 1 1 1
direct
0.000 0.000 0.500 S
0.000 0.500 0.000 S
0.500 0.500 0.500 Si
0.000 0.000 0.000 Zr
0.500 0.000 0.000 Cl

#Q
ZrSiS2Cl, PBEsol geometry, DFT SCAN; symmetry = P4/mmm, No. 123; crystal system = tetragonal; theoretical density = 4.0 g/cm3; total magnetic moment = 1.63 μB/cell
1.0
-2.787 2.130 -2.675
-3.179 -3.158 0.797
-1.530 2.432 3.530
S Si Zr Cl
2 1 1 1
direct
0.000 0.000 0.500 S
0.000 0.500 0.000 S
0.000 0.000 0.000 Si
0.500 0.500 0.500 Zr
0.500 0.000 0.000 Cl

Of them, #Q has the lowest stability.

#P
Ta2SCl, PBEsol geometry, DFT SCAN; symmetry = Fm-3m, No. 225; crystal system = cubic; theoretical density = 12.3 g/cm3; total magnetic moment = 0.00 μB/cell
1.0
-3.524 0.703 2.431
-1.678 -3.223 2.371
0.331 0.089 4.325
S Cl Ta
1 1 2
direct
0.000 0.000 0.000 S
0.500 0.500 0.500 Cl
0.250 0.250 0.250 Ta
0.750 0.750 0.750 Ta

#Q
Ta2SCl, PBEsol geometry, DFT SCAN; symmetry = I-42d, No. 122; crystal system = tetragonal; theoretical density = 10.5 g/cm3; total magnetic moment = 0.00 μB/cell
1.0
-3.272 3.948 -2.332
-1.483 -5.351 -0.954
-0.354 0.757 5.571
S Cl Ta
2 2 4
direct
0.750 0.250 0.500 S
0.500 0.500 0.000 S
0.250 0.750 0.500 Cl
0.000 0.000 0.000 Cl
0.848 0.875 0.473 Ta
0.402 0.375 0.527 Ta
0.625 0.152 0.027 Ta
0.125 0.598 0.973 Ta

Of them, #Q has the lowest stability.

#P
ScSb2Cl, PBEsol geometry, DFT SCAN; symmetry = P4/mmm, No. 123; crystal system = tetragonal; theoretical density = 5.8 g/cm3; total magnetic moment = 0.00 μB/cell
1.0
-0.584 4.068 0.181
-4.072 -0.583 -0.052
-0.034 -0.249 5.486
Sc Sb Cl
1 2 1
direct
0.500 0.500 0.500 Sc
0.000 0.500 0.000 Sb
0.500 0.000 0.000 Sb
0.000 0.000 0.500 Cl

#Q
ScSb2Cl, PBEsol geometry, DFT SCAN; symmetry = F-43m, No. 216; crystal system = cubic; theoretical density = 5.8 g/cm3; total magnetic moment = 0.01 μB/cell
1.0
5.088 0.000 0.000
2.544 4.407 0.000
2.544 1.469 4.155
Sc Sb Cl
1 2 1
direct
0.500 0.500 0.500 Sc
0.000 0.000 0.000 Sb
0.750 0.750 0.750 Sb
0.250 0.250 0.250 Cl

Of them, #Q has the lowest stability.

#P
Sc2SbCl, PBEsol geometry, DFT SCAN; symmetry = Cmmm, No. 65; crystal system = orthorhombic; theoretical density = 5.1 g/cm3; total magnetic moment = 0.00 μB/cell
1.0
3.340 0.045 0.000
-0.690 3.269 0.000
0.000 0.000 7.397
Sc Sb Cl
2 1 1
direct
0.000 0.000 0.256 Sc
0.000 0.000 0.744 Sc
0.500 0.500 0.000 Sb
0.500 0.500 0.500 Cl

#Q
Sc2SbCl, PBEsol geometry, DFT SCAN; symmetry = Imm2, No. 44; crystal system = orthorhombic; theoretical density = 4.9 g/cm3; total magnetic moment = 0.34 μB/cell
1.0
-0.400 -3.324 -0.852
1.787 0.636 -3.319
4.913 -0.036 4.839
Sc Sb Cl
2 1 1
direct
0.962 0.962 0.924 Sc
0.198 0.698 0.395 Sc
0.798 0.298 0.596 Sb
0.542 0.542 0.084 Cl

Of them, #P has the lowest stability.

#P
Sb2SeCl, PBEsol geometry, DFT SCAN; symmetry = Cmm2, No. 35; crystal system = orthorhombic; theoretical density = 6.0 g/cm3; total magnetic moment = 0.00 μB/cell
1.0
3.462 0.000 0.000
-1.731 2.917 0.000
0.000 0.000 9.772
Sb Se Cl
2 1 1
direct
0.000 0.000 0.980 Sb
0.500 0.000 0.275 Sb
0.000 0.000 0.480 Se
0.500 0.000 0.765 Cl

#Q
Sb2SeCl, PBEsol geometry, DFT SCAN; symmetry = Cmmm, No. 65; crystal system = orthorhombic; theoretical density = 6.6 g/cm3; total magnetic moment = 0.00 μB/cell
1.0
3.494 0.000 0.000
0.000 5.106 0.080
0.000 -0.714 5.056
Sb Se Cl
2 1 1
direct
0.000 0.500 0.000 Sb
0.000 0.000 0.500 Sb
0.500 0.000 0.000 Se
0.500 0.500 0.500 Cl

#R
Sb2SeCl, PBEsol geometry, DFT SCAN; symmetry = F-43m, No. 216; crystal system = cubic; theoretical density = 6.6 g/cm3; total magnetic moment = 0.29 μB/cell
1.0
5.032 0.000 0.000
2.516 4.358 0.000
2.516 1.453 4.109
Sb Se Cl
2 1 1
direct
0.000 0.000 0.000 Sb
0.750 0.750 0.750 Sb
0.250 0.250 0.250 Se
0.500 0.500 0.500 Cl

#S
Sb2SeCl, PBEsol geometry, DFT SCAN; symmetry = R-3m, No. 166; crystal system = trigonal; theoretical density = 6.2 g/cm3; total magnetic moment = 0.00 μB/cell
1.0
3.545 0.000 0.000
1.773 3.070 0.000
1.773 1.023 8.791
Sb Se Cl
2 1 1
direct
0.245 0.245 0.266 Sb
0.755 0.755 0.734 Sb
0.500 0.500 0.500 Se
0.000 0.000 0.000 Cl

Of them, #Q has the lowest stability.

#P
SiSbCl2, PBEsol geometry, DFT SCAN; symmetry = Pmmm, No. 47; crystal system = orthorhombic; theoretical density = 4.4 g/cm3; total magnetic moment = 0.00 μB/cell
1.0
-0.744 -0.952 3.019
4.437 -0.797 0.841
0.595 5.194 1.785
Sb Si Cl
1 1 2
direct
0.500 0.500 0.000 Sb
0.000 0.500 0.500 Si
0.000 0.000 0.000 Cl
0.500 0.000 0.500 Cl

#Q
SiSbCl2, PBEsol geometry, DFT SCAN; symmetry = Pmmm, No. 47; crystal system = orthorhombic; theoretical density = 4.5 g/cm3; total magnetic moment = 0.00 μB/cell
1.0
3.102 0.000 0.000
0.000 4.389 0.000
0.000 0.000 6.040
Sb Si Cl
1 1 2
direct
0.500 0.500 0.000 Sb
0.500 0.500 0.500 Si
0.000 0.000 0.746 Cl
0.000 0.000 0.254 Cl

Of them, #Q has the lowest stability.

#P
TlSbCl2, PBEsol geometry, DFT SCAN; symmetry = P4/mmm, No. 123; crystal system = tetragonal; theoretical density = 6.9 g/cm3; total magnetic moment = 0.00 μB/cell
1.0
-0.789 -1.365 2.923
-1.506 -2.506 -1.576
7.491 -4.462 -0.062
Sb Tl Cl
1 1 2
direct
0.500 0.500 0.000 Sb
0.500 0.500 0.500 Tl
0.000 0.000 0.741 Cl
0.000 0.000 0.259 Cl

#Q
TlSbCl2, PBEsol geometry, DFT SCAN; symmetry = F-43m, No. 216; crystal system = cubic; theoretical density = 7.1 g/cm3; total magnetic moment = 0.00 μB/cell
1.0
5.089 0.000 0.000
2.544 4.407 0.000
2.544 1.469 4.155
Sb Tl Cl
1 1 2
direct
0.500 0.500 0.500 Sb
0.750 0.750 0.750 Tl
0.000 0.000 0.000 Cl
0.250 0.250 0.250 Cl

Of them, #Q has the lowest stability.